# 1
# ZnSbAu2 | the Alexandria database | SCAN | single point on PBEsol structure
data_ZnSbAu2
_cell_length_a 4.370
_cell_length_b 4.370
_cell_length_c 5.937
_cell_angle_alpha 101.15
_cell_angle_beta 101.15
_cell_angle_gamma 43.34
_symmetry_space_group_name_H-M 'P 1'
_symmetry_Int_Tables_number 1
loop_
_symmetry_equiv_pos_as_xyz
'x,y,z'
loop_
_atom_site_label
_atom_site_fract_x
_atom_site_fract_y
_atom_site_fract_z
_atom_site_occupancy
Zn1 0.000 0.000 0.000 1
Sb1 0.500 0.500 0.500 1
Au1 0.261 0.261 0.792 1
Au2 0.739 0.739 0.208 1
# crystal system: monoclinic
# formation energy from raw total energies: -102 meV per atom

# 2
# Ba2AlCuF9 | the Alexandria database | SCAN | single point on PBEsol structure
data_Ba2AlCuF9
_cell_length_a 5.387
_cell_length_b 7.292
_cell_length_c 9.146
_cell_angle_alpha 90.00
_cell_angle_beta 90.62
_cell_angle_gamma 90.00
_symmetry_space_group_name_H-M 'P 1'
_symmetry_Int_Tables_number 1
loop_
_symmetry_equiv_pos_as_xyz
'x,y,z'
loop_
_atom_site_label
_atom_site_fract_x
_atom_site_fract_y
_atom_site_fract_z
_atom_site_occupancy
Ba1 0.241 0.000 0.057 1
Ba2 0.250 0.225 0.584 1
Ba3 0.750 0.725 0.416 1
Ba4 0.759 0.500 0.943 1
Al1 0.256 0.705 0.673 1
Al2 0.744 0.205 0.327 1
Cu1 0.249 0.517 0.232 1
Cu2 0.751 0.017 0.768 1
F1 0.004 0.684 0.171 1
F2 0.014 0.537 0.675 1
F3 0.016 0.889 0.652 1
F4 0.221 0.361 0.051 1
F5 0.250 0.696 0.472 1
F6 0.269 0.727 0.864 1
F7 0.495 0.888 0.649 1
F8 0.497 0.535 0.671 1
F9 0.499 0.679 0.168 1
F10 0.501 0.179 0.832 1
F11 0.503 0.035 0.329 1
F12 0.505 0.388 0.351 1
F13 0.731 0.227 0.136 1
F14 0.750 0.196 0.528 1
F15 0.779 0.861 0.949 1
F16 0.984 0.389 0.348 1
F17 0.986 0.037 0.325 1
F18 0.996 0.184 0.829 1
# crystal system: monoclinic
# formation energy from raw total energies: -3540 meV per atom

# 3
# Tc2AgIr | the Alexandria database | SCAN | single point on PBEsol structure
data_Tc2AgIr
_cell_length_a 4.673
_cell_length_b 4.673
_cell_length_c 2.697
_cell_angle_alpha 90.00
_cell_angle_beta 90.00
_cell_angle_gamma 90.00
_symmetry_space_group_name_H-M 'P 1'
_symmetry_Int_Tables_number 1
loop_
_symmetry_equiv_pos_as_xyz
'x,y,z'
loop_
_atom_site_label
_atom_site_fract_x
_atom_site_fract_y
_atom_site_fract_z
_atom_site_occupancy
Tc1 0.000 0.500 0.000 1
Tc2 0.500 0.000 0.000 1
Ag1 0.000 0.000 0.500 1
Ir1 0.500 0.500 0.500 1
# E_form: 0.57 eV per atom
# crystal system: tetragonal

# 4
# SrSiPt2 | the Alexandria database | SCAN | single point on PBEsol structure
data_SrSiPt2
_cell_length_a 4.155
_cell_length_b 4.155
_cell_length_c 6.163
_cell_angle_alpha 109.51
_cell_angle_beta 109.51
_cell_angle_gamma 59.69
_symmetry_space_group_name_H-M 'P 1'
_symmetry_Int_Tables_number 1
loop_
_symmetry_equiv_pos_as_xyz
'x,y,z'
loop_
_atom_site_label
_atom_site_fract_x
_atom_site_fract_y
_atom_site_fract_z
_atom_site_occupancy
Sr1 0.000 0.000 0.000 1
Si1 0.812 0.812 0.444 1
Pt1 0.195 0.195 0.589 1
Pt2 0.456 0.456 0.372 1
# crystal system: monoclinic
# formation energy from raw total energies: -904 meV per atom

# 5
# SnAsHRu2 | the Alexandria database | SCAN | single point on PBEsol structure
data_SnAsHRu2
_cell_length_a 4.169
_cell_length_b 4.169
_cell_length_c 3.779
_cell_angle_alpha 90.00
_cell_angle_beta 90.00
_cell_angle_gamma 90.00
_symmetry_space_group_name_H-M 'P 1'
_symmetry_Int_Tables_number 1
loop_
_symmetry_equiv_pos_as_xyz
'x,y,z'
loop_
_atom_site_label
_atom_site_fract_x
_atom_site_fract_y
_atom_site_fract_z
_atom_site_occupancy
Sn1 0.000 0.000 0.000 1
As1 0.500 0.500 0.000 1
H1 0.500 0.500 0.500 1
Ru1 0.000 0.500 0.500 1
Ru2 0.500 0.000 0.500 1
# E: -127.0 eV/cell
# crystal system: tetragonal

# 6
# MnCuTe2 | the Alexandria database | SCAN | single point on PBEsol structure
data_MnCuTe2
_cell_length_a 4.894
_cell_length_b 4.894
_cell_length_c 4.894
_cell_angle_alpha 60.00
_cell_angle_beta 60.00
_cell_angle_gamma 60.00
_symmetry_space_group_name_H-M 'P 1'
_symmetry_Int_Tables_number 1
loop_
_symmetry_equiv_pos_as_xyz
'x,y,z'
loop_
_atom_site_label
_atom_site_fract_x
_atom_site_fract_y
_atom_site_fract_z
_atom_site_occupancy
Mn1 0.000 0.000 0.000 1
Cu1 0.750 0.750 0.750 1
Te1 0.250 0.250 0.250 1
Te2 0.500 0.500 0.500 1
# crystal system: cubic
# formation energy from raw total energies: 453 meV per atom

Number 1: volume 19.0 Å³ per atom. Number 2: volume 13.8 Å³ per atom. Number 3: volume 14.7 Å³ per atom. Number 4: volume 21.2 Å³ per atom. Number 5: volume 13.1 Å³ per atom. Number 6: volume 20.7 Å³ per atom.